i | 32
Lattice="0.000 7.717 4.648 7.674 0.000 4.648 7.674 7.717 0.000" Properties=species:S:1:pos:R:3 comment="BaTeF6, optimized geometry, DFT GGA-PBE" dos_ef_per_ev_atom=0.000 crystal_system=orthorhombic pbc="T T T"
Ba 8.843 1.775 4.648
Ba 5.006 2.083 2.324
Ba 2.667 5.634 2.324
Ba 6.504 13.659 4.648
Te 9.893 6.048 2.912
Te 6.056 5.528 5.236
Te 5.455 9.386 2.912
Te 9.292 9.906 5.236
F 6.421 0.799 4.196
F 10.225 7.909 2.227
F 7.999 6.029 2.282
F 11.428 6.285 4.232
F 9.351 4.600 4.211
F 5.089 4.657 1.872
F 2.584 3.060 1.872
F 6.389 3.667 4.551
F 9.043 7.070 4.306
F 7.349 9.405 2.282
F 5.122 7.525 2.227
F 11.185 9.888 4.606
F 7.591 5.291 6.556
F 4.162 5.546 4.606
F 6.304 8.364 4.306
F 9.833 8.459 6.535
F 12.880 12.222 6.629
F 8.959 11.767 4.551
F 10.141 10.929 6.629
F 5.997 10.834 4.211
F 3.919 9.149 4.232
F 5.514 6.975 6.535
F 1.253 6.918 4.196
F 7.756 10.144 6.556



ii | 8
Lattice="2.734 1.578 5.528 -2.734 1.578 5.528 0.000 -3.157 5.528" Properties=species:S:1:pos:R:3 comment="BaTeF6, optimized geometry, DFT GGA-PBE" dos_ef_per_ev_atom=0.000 crystal_system=trigonal pbc="T T T"
Ba 0.000 0.000 0.000
Te 0.000 0.000 8.292
F -1.381 -0.797 6.952
F 0.000 -1.595 9.631
F -1.381 0.797 9.631
F 1.381 -0.797 6.952
F 0.000 1.595 6.952
F 1.381 0.797 9.631



Most stable = i



i | 5
Lattice="5.055 0.000 0.000 0.000 5.055 0.000 0.000 0.000 5.055" Properties=species:S:1:pos:R:3 comment="BaTiF3, optimized geometry, DFT GGA-PBE" dos_ef_per_ev_atom=1.326 crystal_system=cubic pbc="T T T"
Ba 0.000 0.000 0.000
Ti 2.528 2.528 2.528
F 0.000 0.000 2.528
F 0.000 2.528 0.000
F 2.528 0.000 0.000



ii | 5
Lattice="4.368 0.000 0.000 0.000 4.368 0.000 0.000 0.000 4.368" Properties=species:S:1:pos:R:3 comment="BaTiF3, optimized geometry, DFT GGA-PBE" dos_ef_per_ev_atom=0.610 crystal_system=cubic pbc="T T T"
Ba 0.000 0.000 0.000
Ti 2.184 2.184 2.184
F 0.000 2.184 2.184
F 2.184 0.000 2.184
F 2.184 2.184 0.000



Most stable = ii



i | 4
Lattice="0.000 4.083 4.083 4.083 0.000 4.083 4.083 4.083 0.000" Properties=species:S:1:pos:R:3 comment="Ba2TiF, optimized geometry, DFT GGA-PBE" dos_ef_per_ev_atom=2.979 crystal_system=cubic pbc="T T T"
Ba 2.041 2.041 2.041
Ba 6.124 6.124 6.124
Ti 0.000 0.000 0.000
F 4.083 4.083 4.083



ii | 8
Lattice="-4.029 4.029 4.432 4.029 -4.029 4.432 4.029 4.029 -4.432" Properties=species:S:1:pos:R:3 comment="Ba2TiF, optimized geometry, DFT GGA-PBE" dos_ef_per_ev_atom=1.656 crystal_system=tetragonal pbc="T T T"
Ba 6.044 1.240 -1.108
Ba 1.240 2.015 1.108
Ba -2.015 2.789 3.324
Ba 2.789 2.015 5.540
Ti 4.029 0.000 2.216
Ti 0.000 0.000 4.432
F 0.000 0.000 0.000
F 0.000 4.029 2.216



Most stable = ii